# PBE Na3TaN, optimized geometry
data_Na3TaN
_space_group_name_H-M_alt 'P m -3 m'
_space_group_IT_number 221
_space_group_name_Hall '-P 4 2 3'
_cell_length_a 6.082
_cell_length_b 6.082
_cell_length_c 6.082
_cell_angle_alpha 90.00
_cell_angle_beta 90.00
_cell_angle_gamma 90.00
loop_
_atom_site_label
_atom_site_type_symbol
_atom_site_fract_x
_atom_site_fract_y
_atom_site_fract_z
_atom_site_occupancy
Na1 Na 0.000 0.000 0.500 1
Ta1 Ta 0.000 0.000 0.000 1
N1 N 0.500 0.500 0.500 1
# Relative energy among the computed polymorphs = 761 meV per atom
# Formation energy without anion corrections = 2.28 eV/atom
# Total magnetization = 3.00 μB per formula unit